Entry 1:
# InRuF3 (SCAN, PBEsol geometry)
data_InRuF3
_symmetry_space_group_name_H-M 'P 1'
_symmetry_Int_Tables_number 1
_symmetry_space_group_name_Hall 'P 1'
_cell_length_a 4.195
_cell_length_b 4.195
_cell_length_c 4.195
_cell_angle_alpha 90.00
_cell_angle_beta 90.00
_cell_angle_gamma 90.00
loop_
_atom_site_label
_atom_site_type_symbol
_atom_site_fract_x
_atom_site_fract_y
_atom_site_fract_z
In1 In 0.000 0.000 0.000
Ru1 Ru 0.500 0.500 0.500
F1 F 0.000 0.500 0.500
F2 F 0.500 0.000 0.500
F3 F 0.500 0.500 0.000
# Uncorrected formation energy (eV per atom): -1.42
# Symmetry: Pm-3m (221)
# Uncorrected energy (eV/atom): -17.1869
# V (A^3/atom): 14.77

---

Entry 2:
# H2Pb4SO8 (SCAN, PBEsol geometry)
data_H2Pb4SO8
_symmetry_space_group_name_H-M 'P 1'
_symmetry_Int_Tables_number 1
_symmetry_space_group_name_Hall 'P 1'
_cell_length_a 6.428
_cell_length_b 7.379
_cell_length_c 10.375
_cell_angle_alpha 76.15
_cell_angle_beta 77.14
_cell_angle_gamma 86.48
loop_
_atom_site_label
_atom_site_type_symbol
_atom_site_fract_x
_atom_site_fract_y
_atom_site_fract_z
H1 H 0.027 0.132 0.203
H2 H 0.349 0.279 0.180
H3 H 0.651 0.721 0.820
H4 H 0.973 0.868 0.797
Pb1 Pb 0.250 0.884 0.508
Pb2 Pb 0.271 0.386 0.475
Pb3 Pb 0.279 0.522 0.825
Pb4 Pb 0.342 0.006 0.819
Pb5 Pb 0.658 0.994 0.181
Pb6 Pb 0.721 0.478 0.175
Pb7 Pb 0.729 0.614 0.525
Pb8 Pb 0.750 0.116 0.492
S1 S 0.205 0.768 0.172
S2 S 0.795 0.232 0.828
O1 O 0.015 0.288 0.750
O2 O 0.112 0.812 0.760
O3 O 0.224 0.976 0.138
O4 O 0.258 0.698 0.047
O5 O 0.362 0.584 0.596
O6 O 0.362 0.689 0.260
O7 O 0.393 0.107 0.588
O8 O 0.450 0.251 0.240
O9 O 0.550 0.749 0.760
O10 O 0.607 0.893 0.412
O11 O 0.638 0.311 0.740
O12 O 0.638 0.416 0.404
O13 O 0.742 0.302 0.953
O14 O 0.776 0.024 0.862
O15 O 0.888 0.188 0.240
O16 O 0.985 0.712 0.250
# Symmetry: P-1 (2)
# Uncorrected energy (eV/atom): -25.9808
# V (A^3/atom): 15.53

---

Entry 3:
# SrZn4Ag (SCAN, PBEsol geometry)
data_SrZn4Ag
_symmetry_space_group_name_H-M 'P 1'
_symmetry_Int_Tables_number 1
_symmetry_space_group_name_Hall 'P 1'
_cell_length_a 5.325
_cell_length_b 5.325
_cell_length_c 5.325
_cell_angle_alpha 60.00
_cell_angle_beta 60.00
_cell_angle_gamma 60.00
loop_
_atom_site_label
_atom_site_type_symbol
_atom_site_fract_x
_atom_site_fract_y
_atom_site_fract_z
Sr1 Sr 0.000 0.000 0.000
Zn1 Zn 0.376 0.376 0.376
Zn2 Zn 0.376 0.376 0.871
Zn3 Zn 0.376 0.871 0.376
Zn4 Zn 0.871 0.376 0.376
Ag1 Ag 0.750 0.750 0.750
# E_form (eV per atom): -0.1169
# Symmetry: F-43m (216)
# Uncorrected energy (eV/atom): -18.0675
# V (A^3/atom): 17.79

---

Entry 4:
# ScAlCo (SCAN, PBEsol geometry)
data_ScAlCo
_symmetry_space_group_name_H-M 'P 1'
_symmetry_Int_Tables_number 1
_symmetry_space_group_name_Hall 'P 1'
_cell_length_a 8.021
_cell_length_b 5.058
_cell_length_c 5.058
_cell_angle_alpha 60.94
_cell_angle_beta 90.00
_cell_angle_gamma 90.00
loop_
_atom_site_label
_atom_site_type_symbol
_atom_site_fract_x
_atom_site_fract_y
_atom_site_fract_z
Sc1 Sc 0.172 0.000 0.000
Sc2 Sc 0.294 0.664 0.664
Sc3 Sc 0.706 0.664 0.664
Sc4 Sc 0.828 0.000 0.000
Al1 Al 0.230 0.323 0.323
Al2 Al 0.500 0.165 0.674
Al3 Al 0.500 0.674 0.165
Al4 Al 0.770 0.323 0.323
Co1 Co 0.000 0.502 0.502
Co2 Co 0.000 0.505 0.968
Co3 Co 0.000 0.968 0.505
Co4 Co 0.500 0.166 0.166
# E_form (eV per atom): -0.4310
# Symmetry: Amm2 (38)
# Uncorrected energy (eV/atom): -13.5287
# V (A^3/atom): 14.95

---

Entry 5:
# BeCuSN2 (SCAN, PBEsol geometry)
data_BeCuSN2
_symmetry_space_group_name_H-M 'P 1'
_symmetry_Int_Tables_number 1
_symmetry_space_group_name_Hall 'P 1'
_cell_length_a 3.209
_cell_length_b 3.209
_cell_length_c 6.129
_cell_angle_alpha 90.00
_cell_angle_beta 90.00
_cell_angle_gamma 90.00
loop_
_atom_site_label
_atom_site_type_symbol
_atom_site_fract_x
_atom_site_fract_y
_atom_site_fract_z
Be1 Be 0.000 0.000 0.000
Cu1 Cu 0.500 0.500 0.500
S1 S 0.000 0.000 0.500
N1 N 0.000 0.500 0.000
N2 N 0.500 0.000 0.000
# Uncorrected formation energy (eV per atom): 1.01
# Symmetry: P4/mmm (123)
# Uncorrected energy (eV/atom): -8.5441
# V (A^3/atom): 12.63

---

Entry 6:
# Li2ZnSi (SCAN, PBEsol geometry)
data_Li2ZnSi
_symmetry_space_group_name_H-M 'P 1'
_symmetry_Int_Tables_number 1
_symmetry_space_group_name_Hall 'P 1'
_cell_length_a 2.757
_cell_length_b 3.778
_cell_length_c 5.480
_cell_angle_alpha 90.00
_cell_angle_beta 90.00
_cell_angle_gamma 90.00
loop_
_atom_site_label
_atom_site_type_symbol
_atom_site_fract_x
_atom_site_fract_y
_atom_site_fract_z
Li1 Li 0.000 0.000 0.000
Li2 Li 0.500 0.500 0.270
Zn1 Zn 0.500 0.500 0.754
Si1 Si 0.000 0.000 0.512
# Uncorrected formation energy (eV per atom): -0.07
# Symmetry: Pmm2 (25)
# Uncorrected energy (eV/atom): -7.1428
# V (A^3/atom): 14.27

---

Entry 7:
# CuPt (SCAN, PBEsol geometry)
data_CuPt
_symmetry_space_group_name_H-M 'P 1'
_symmetry_Int_Tables_number 1
_symmetry_space_group_name_Hall 'P 1'
_cell_length_a 2.684
_cell_length_b 2.684
_cell_length_c 4.299
_cell_angle_alpha 90.00
_cell_angle_beta 90.00
_cell_angle_gamma 120.00
loop_
_atom_site_label
_atom_site_type_symbol
_atom_site_fract_x
_atom_site_fract_y
_atom_site_fract_z
Cu1 Cu 0.000 0.000 0.000
Pt1 Pt 0.667 0.333 0.500
# E_form (eV per atom): -0.1626
# Symmetry: P-6m2 (187)
# Uncorrected energy (eV/atom): -42.8589
# V (A^3/atom): 13.41

---

Entry 8:
# YCdCl2 (SCAN, PBEsol geometry)
data_YCdCl2
_symmetry_space_group_name_H-M 'P 1'
_symmetry_Int_Tables_number 1
_symmetry_space_group_name_Hall 'P 1'
_cell_length_a 3.295
_cell_length_b 4.534
_cell_length_c 13.780
_cell_angle_alpha 90.00
_cell_angle_beta 90.00
_cell_angle_gamma 90.00
loop_
_atom_site_label
_atom_site_type_symbol
_atom_site_fract_x
_atom_site_fract_y
_atom_site_fract_z
Y1 Y 0.000 0.000 0.000
Y2 Y 0.500 0.500 0.500
Cd1 Cd 0.000 0.500 0.298
Cd2 Cd 0.500 0.000 0.798
Cl1 Cl 0.000 0.000 0.478
Cl2 Cl 0.000 0.500 0.656
Cl3 Cl 0.500 0.000 0.156
Cl4 Cl 0.500 0.500 0.978
# Uncorrected formation energy (eV per atom): -1.39
# Symmetry: Imm2 (44)
# Uncorrected energy (eV/atom): -19.9390
# V (A^3/atom): 25.73

---

Entry 9:
# Rb2SbI (SCAN, PBEsol geometry)
data_Rb2SbI
_symmetry_space_group_name_H-M 'P 1'
_symmetry_Int_Tables_number 1
_symmetry_space_group_name_Hall 'P 1'
_cell_length_a 9.783
_cell_length_b 9.783
_cell_length_c 6.951
_cell_angle_alpha 90.00
_cell_angle_beta 90.00
_cell_angle_gamma 90.00
loop_
_atom_site_label
_atom_site_type_symbol
_atom_site_fract_x
_atom_site_fract_y
_atom_site_fract_z
Rb1 Rb 0.241 0.750 0.125
Rb2 Rb 0.250 0.241 0.875
Rb3 Rb 0.250 0.259 0.375
Rb4 Rb 0.259 0.750 0.625
Rb5 Rb 0.741 0.250 0.625
Rb6 Rb 0.750 0.741 0.375
Rb7 Rb 0.750 0.759 0.875
Rb8 Rb 0.759 0.250 0.125
Sb1 Sb 0.000 0.000 0.500
Sb2 Sb 0.000 0.500 0.750
Sb3 Sb 0.500 0.000 0.250
Sb4 Sb 0.500 0.500 0.000
I1 I 0.000 0.000 0.000
I2 I 0.000 0.500 0.250
I3 I 0.500 0.000 0.750
I4 I 0.500 0.500 0.500
# Uncorrected formation energy (eV per atom): -0.55
# Symmetry: I-42d (122)
# Uncorrected energy (eV/atom): -29.4162
# V (A^3/atom): 41.58

---

Entry 10:
# BeGe3O (SCAN, PBEsol geometry)
data_BeGe3O
_symmetry_space_group_name_H-M 'P 1'
_symmetry_Int_Tables_number 1
_symmetry_space_group_name_Hall 'P 1'
_cell_length_a 4.298
_cell_length_b 4.298
_cell_length_c 4.298
_cell_angle_alpha 90.00
_cell_angle_beta 90.00
_cell_angle_gamma 90.00
loop_
_atom_site_label
_atom_site_type_symbol
_atom_site_fract_x
_atom_site_fract_y
_atom_site_fract_z
Be1 Be 0.000 0.000 0.000
Ge1 Ge 0.000 0.500 0.500
Ge2 Ge 0.500 0.000 0.500
Ge3 Ge 0.500 0.500 0.000
O1 O 0.500 0.500 0.500
# Uncorrected formation energy (eV per atom): 0.42
# Symmetry: Pm-3m (221)
# Uncorrected energy (eV/atom): -13.1537
# V (A^3/atom): 15.88

---

Entry 11:
# CrSnP2S (SCAN, PBEsol geometry)
data_CrSnP2S
_symmetry_space_group_name_H-M 'P 1'
_symmetry_Int_Tables_number 1
_symmetry_space_group_name_Hall 'P 1'
_cell_length_a 4.305
_cell_length_b 4.305
_cell_length_c 5.070
_cell_angle_alpha 90.00
_cell_angle_beta 90.00
_cell_angle_gamma 90.00
loop_
_atom_site_label
_atom_site_type_symbol
_atom_site_fract_x
_atom_site_fract_y
_atom_site_fract_z
Cr1 Cr 0.000 0.000 0.000
Sn1 Sn 0.500 0.500 0.500
P1 P 0.000 0.500 0.000
P2 P 0.500 0.000 0.000
S1 S 0.000 0.000 0.500
# Uncorrected formation energy (eV per atom): 0.26
# Symmetry: P4/mmm (123)
# Uncorrected energy (eV/atom): -16.6901
# V (A^3/atom): 18.80

---

Entry 12:
# TaAg2Cl (SCAN, PBEsol geometry)
data_TaAg2Cl
_symmetry_space_group_name_H-M 'P 1'
_symmetry_Int_Tables_number 1
_symmetry_space_group_name_Hall 'P 1'
_cell_length_a 2.857
_cell_length_b 5.254
_cell_length_c 4.758
_cell_angle_alpha 90.00
_cell_angle_beta 91.65
_cell_angle_gamma 90.00
loop_
_atom_site_label
_atom_site_type_symbol
_atom_site_fract_x
_atom_site_fract_y
_atom_site_fract_z
Ta1 Ta 0.000 0.000 0.000
Ag1 Ag 0.265 0.500 0.758
Ag2 Ag 0.735 0.500 0.242
Cl1 Cl 0.000 0.000 0.500
# Uncorrected formation energy (eV per atom): 0.38
# Symmetry: P2/m (10)
# Uncorrected energy (eV/atom): -33.9441
# V (A^3/atom): 17.85